Compound: LaFe3W
Source: Alexandria
Functional: PBE-GGA
Structure: optimized geometry

a b c (Å): 4.6319 4.6319 4.6319
angles (deg): 90.00 90.00 90.00
With the nearest neighbours (Å) after each atom.
Space group Pm-3m (No. 221)
Symmetry-distinct sites (fractional):
La (0.0000, 0.0000, 0.0000)  12 Fe 3.28
Fe (0.0000, 0.5000, 0.5000)  2 W 2.32
W (0.5000, 0.5000, 0.5000)  6 Fe 2.32

Computed properties:
Offset from the most stable computed form = 0.0000 eV per atom

=====

Compound: Y2AlGa2Ru5
Source: Alexandria
Functional: PBE-GGA
Structure: optimized geometry

a b c (Å): 9.9404 9.9404 3.3895
angles (deg): 90.00 90.00 90.00
With the nearest neighbours (Å) after each atom.
Space group P4/mbm (No. 127)
Symmetry-distinct sites (fractional):
Y (0.1698, 0.3302, 0.0000)  3 Ga 2.80-3.01, 2 Ru 2.93
Al (0.0000, 0.0000, 0.0000)  8 Ru 2.63
Ga (0.1307, 0.6307, 0.0000)  6 Ru 2.50-2.53
Ru (0.0000, 0.5000, 0.5000)  4 Ga 2.50
Ru (0.0622, 0.8071, 0.5000)  2 Ga 2.53, 2 Al 2.63

=====

Compound: Er3TlNi2
Source: Alexandria
Functional: PBE-GGA
Structure: optimized geometry

a b c (Å): 4.2709 9.0574 6.9754
angles (deg): 90.00 90.00 90.00
With the nearest neighbours (Å) after each atom.
Space group Pmc2_1 (No. 26)
Symmetry-distinct sites (fractional):
Er (0.0000, 0.0585, 0.0000)  6 Ni 2.70-2.91
Er (0.5000, 0.2417, 0.3845)  4 Ni 2.83-2.90
Er (0.5000, 0.3386, 0.8546)  3 Ni 2.77-2.80
Tl (0.0000, 0.4684, 0.1347)  1 Ni 2.85, 4 Er 3.12-3.16
Ni (0.0000, 0.2167, 0.6499)  2 Ni 2.65, 6 Er 2.70-2.83, 1 Tl 2.85
Ni (0.5000, 0.0512, 0.7174)  2 Ni 2.65, 7 Er 2.77-2.91

=====

no.,ΔE_f (eV per atom)
1,0.84
2,-0.35
3,-0.38